First-principles (PBE) data for an optimized crystal structure of Cs2CeNdO4, as listed in Alexandria via LeMat-Bulk.

Summary:
Magnetization in μB per cell: 0.78
Formation energy (no corrections) in meV per atom: -2514.7
VASP energy in eV per atom: -6.5449
Density of states at the Fermi level in states/eV per cell: 4.1

abc: 3.7028 6.4045 7.2854
angles: 107.00 90.00 90.00
Last column: nearest neighbours and their distance in Å.
Sites, in units of the cell vectors:
O 0.0000 0.2835 0.8366  2 Ce 2.41, 1 Nd 2.45
O 0.5000 0.7735 0.8363  1 Ce 2.39, 2 Nd 2.44
Cs 0.5000 0.0000 0.5000  6 O 3.18-3.19
O 0.5000 0.2265 0.1637  1 Ce 2.39, 2 Nd 2.44
Cs 0.0000 0.5000 0.5000  6 O 3.15-3.16
O 0.0000 0.7165 0.1634  2 Ce 2.41, 1 Nd 2.45
Ce 0.5000 0.5000 0.0000  6 O 2.39-2.41
Nd 0.0000 0.0000 0.0000  6 O 2.44-2.45